1.
ReSb3Rh: optimized geometry, PBE.

Output
Formation energy from raw total energies: 1190 meV/atom
DOS at the Fermi energy: 0.691 states/eV per atom

Unit cell a=5.0643 b=5.0643 c=5.0643 alpha=90.00 beta=90.00 gamma=90.00
Closest atoms and distances in Å follow each position.
Element x y z (fractional)
Re (0.0000, 0.0000, 0.0000)  12 Sb 3.58
Sb (0.0000, 0.5000, 0.5000)  2 Rh 2.53
Sb (0.5000, 0.0000, 0.5000)  2 Rh 2.53
Sb (0.5000, 0.5000, 0.0000)  2 Rh 2.53
Rh (0.5000, 0.5000, 0.5000)  6 Sb 2.53

2.
Cs2RbTlF: optimized geometry, PBE.

Output
Formation energy from raw total energies: -877 meV/atom
DOS at the Fermi energy: 0.602 states/eV per atom

Unit cell a=5.8378 b=5.8378 c=7.7581 alpha=90.00 beta=90.00 gamma=90.00
Closest atoms and distances in Å follow each position.
Element x y z (fractional)
Cs (0.0000, 0.5000, 0.0000)  2 F 2.92
Cs (0.5000, 0.0000, 0.0000)  2 F 2.92
Rb (0.0000, 0.0000, 0.5000)  4 Tl 4.13
Tl (0.5000, 0.5000, 0.5000)  2 F 3.88, 4 Rb 4.13
F (0.5000, 0.5000, 0.0000)  4 Cs 2.92

3.
LiIrRu: optimized geometry, PBE.

Output
DOS at the Fermi energy: 0.921 states/eV per atom
DFT formation energy: 93 kJ/mol of formula units

Unit cell a=4.0637 b=4.0637 c=4.0637 alpha=60.00 beta=60.00 gamma=60.00
Closest atoms and distances in Å follow each position.
Element x y z (fractional)
Li (0.0000, 0.0000, 0.0000)  4 Ir 2.49
Ir (0.7500, 0.7500, 0.7500)  4 Li 2.49, 4 Ru 2.49
Ru (0.5000, 0.5000, 0.5000)  4 Ir 2.49

4.
Mn2ZnSi: optimized geometry, PBE.

Output
Formation energy from raw total energies: 4 meV/atom
DOS at the Fermi energy: 0.760 states/eV per atom

Unit cell a=2.7110 b=3.5269 c=5.2463 alpha=90.00 beta=90.00 gamma=90.00
Closest atoms and distances in Å follow each position.
Element x y z (fractional)
Mn (0.0000, 0.0000, 0.0000)  2 Si 2.53-2.72, 6 Mn 2.57-2.71, 4 Zn 2.58
Mn (0.5000, 0.5000, 0.2455)  4 Si 2.55, 6 Mn 2.57-2.71, 2 Zn 2.60-2.65
Zn (0.5000, 0.5000, 0.7508)  6 Mn 2.58-2.65, 4 Si 2.63, 2 Zn 2.71
Si (0.0000, 0.0000, 0.4818)  6 Mn 2.53-2.72, 4 Zn 2.63, 2 Si 2.71

5.
MgAsSe2Br: optimized geometry, PBE.

Output
Formation energy from raw total energies: 381 meV/atom
DOS at the Fermi energy: 0.907 states/eV per atom

Unit cell a=4.9037 b=4.9037 c=5.5190 alpha=90.00 beta=90.00 gamma=90.00
Closest atoms and distances in Å follow each position.
Element x y z (fractional)
Mg (0.0000, 0.0000, 0.0000)  4 Se 2.45
As (0.0000, 0.0000, 0.5000)  2 Mg 2.76
Se (0.0000, 0.5000, 0.0000)  2 Mg 2.45
Se (0.5000, 0.0000, 0.0000)  2 Mg 2.45
Br (0.5000, 0.5000, 0.5000)  4 As 3.47, 8 Se 3.69

6.
Ac6LaNd: optimized geometry, PBE.

Output
DOS at the Fermi energy: 2.183 states/eV per atom
DFT formation energy: 22 kJ/mol of formula units

Unit cell a=9.6112 b=8.8073 c=6.7853 alpha=74.85 beta=62.19 gamma=42.96
Closest atoms and distances in Å follow each position.
Element x y z (fractional)
Ac (0.1218, 0.1218, 0.3782)  8 Ac 3.83-4.04, 2 Nd 3.90, 2 La 3.90
Ac (0.2493, 0.2493, 0.7507)  1 Nd 3.92, 10 Ac 3.94-3.95, 1 La 3.95
Ac (0.3782, 0.3782, 0.1218)  8 Ac 3.83-4.04, 2 La 3.90, 2 Nd 3.90
Ac (0.6218, 0.6218, 0.8782)  8 Ac 3.83-4.04, 2 Nd 3.90, 2 La 3.90
Ac (0.7507, 0.7507, 0.2493)  1 Nd 3.92, 10 Ac 3.94-3.95, 1 La 3.95
Ac (0.8782, 0.8782, 0.6218)  8 Ac 3.83-4.04, 2 Nd 3.90, 2 La 3.90
La (0.5000, 0.5000, 0.5000)  10 Ac 3.90-3.95, 2 Nd 3.95
Nd (0.0000, 0.0000, 0.0000)  10 Ac 3.90-3.92, 2 La 3.95

Number 1: spin magnetization 0.550 μB/atom. Number 2: spin magnetization 0.000 μB/atom. Number 3: spin magnetization 0.000 μB/atom. Number 4: spin magnetization 0.106 μB/atom. Number 5: spin magnetization 0.000 μB/atom. Number 6: spin magnetization 0.000 μB/atom.